Record 1
Here is a relaxed TiGaHRu2 crystal from Alexandria. Energies are from PBE-GGA.

Output
- E above lowest polymorph (meV/atom) = 0
- space group = P4/mmm (123)

a b c (Å): 4.124 4.124 3.656
angles (deg): 90.00 90.00 90.00
Fractional positions:
1 Ru 0.500 0.000 0.000
2 Ti 0.000 0.000 0.500
3 H 0.000 0.000 0.000
4 Ru 0.000 0.500 0.000
5 Ga 0.500 0.500 0.500

Record 2
Here is a relaxed Ti2GaHRu crystal from Alexandria. Energies are from PBE-GGA.

Output
- space group = P4/mmm (123)

a b c (Å): 4.091 4.091 3.759
angles (deg): 90.00 90.00 90.00
Fractional positions:
1 Ti 0.500 0.000 0.000
2 H 0.000 0.000 0.000
3 Ti 0.000 0.500 0.000
4 Ru 0.000 0.000 0.500
5 Ga 0.500 0.500 0.500

Record 3
Here is a relaxed Y2GaHRu crystal from Alexandria. Energies are from PBE-GGA.

Output
- space group = P4/mmm (123)

a b c (Å): 4.924 4.924 3.650
angles (deg): 90.00 90.00 90.00
Fractional positions:
1 Ru 0.000 0.000 0.500
2 H 0.000 0.000 0.000
3 Y 0.500 0.000 0.000
4 Y 0.000 0.500 0.000
5 Ga 0.500 0.500 0.500

Record 4
Here is a relaxed Zr2GaHRu crystal from Alexandria. Energies are from PBE-GGA.

Output
- space group = P4/mmm (123)

a b c (Å): 4.461 4.461 3.791
angles (deg): 90.00 90.00 90.00
Fractional positions:
1 Zr 0.500 0.000 0.000
2 Ru 0.000 0.000 0.500
3 Ga 0.500 0.500 0.500
4 H 0.000 0.000 0.000
5 Zr 0.000 0.500 0.000

Record 5
Here is a relaxed Ga2HS3 crystal from Alexandria. Energies are from PBE-GGA.

Output
- space group = Cmcm (63)

a b c (Å): 6.325 6.300 6.300
angles (deg): 121.41 89.99 89.99
Fractional positions:
1 S 0.750 0.143 0.492
2 S 0.750 0.876 0.876
3 S 0.250 0.124 0.124
4 Ga 0.500 0.184 0.816
5 S 0.250 0.857 0.508
6 Ga 0.000 0.184 0.816
7 H 0.750 0.654 0.654
8 S 0.750 0.492 0.143
9 Ga 0.000 0.816 0.184
10 Ga 0.500 0.816 0.184
11 S 0.250 0.508 0.857
12 H 0.250 0.346 0.346

Record 6
Here is a relaxed GaH3S crystal from Alexandria. Energies are from PBE-GGA.

Output
- E above lowest polymorph (meV/atom) = 0
- space group = Pm-3m (221)

a b c (Å): 3.657 3.657 3.657
angles (deg): 90.00 90.00 90.00
Fractional positions:
1 H 0.500 0.000 0.000
2 H 0.000 0.000 0.500
3 H 0.000 0.500 0.000
4 Ga 0.500 0.500 0.500
5 S 0.000 0.000 0.000

N(E_F) for the records above, in order: 0.471, 0.898, 0.361, 0.721, 0.198, 0.261 states/eV per atom
Calculated total energy for the records above, in order: -6.933, -6.749, -6.227, -7.005, -3.972, -2.842 eV per atom